Record 1
Compound: K5BaSb2
Source: Alexandria
Functional: PBE
Structure: optimized geometry

Properties
energy relative to the elements, uncorrected = -2.384 eV/f.u.
calculated total energy = -2.255 eV per atom

```
K5BaSb2
1.0
-3.008 5.647 -0.069
-2.895 -5.137 2.485
8.788 4.933 20.437
K Sb Ba
10 4 2
direct
0.333 0.667 0.948
0.000 0.000 0.617
0.333 0.667 0.750
0.667 0.333 0.448
0.333 0.667 0.552
0.000 0.000 0.117
0.667 0.333 0.250
0.000 0.000 0.383
0.667 0.333 0.052
0.000 0.000 0.883
0.333 0.667 0.395
0.333 0.667 0.105
0.667 0.333 0.895
0.667 0.333 0.605
0.667 0.333 0.750
0.333 0.667 0.250
```

Record 2
Compound: ScPt2Au
Source: Alexandria
Functional: PBE
Structure: optimized geometry

Properties
energy of formation = -0.71 eV per atom
calculated total energy = -6.136 eV per atom

```
ScPt2Au
1.0
-2.620 -0.779 1.312
1.118 -3.835 -0.045
2.364 0.629 5.093
Pt Sc Au
2 1 1
direct
0.000 0.000 0.999
0.500 0.500 0.258
0.000 0.000 0.487
0.500 0.500 0.756
```

Please write out number 2 again, unchanged.
Compound: ScPt2Au
Source: Alexandria
Functional: PBE
Structure: optimized geometry

Properties
energy of formation = -0.71 eV per atom
calculated total energy = -6.136 eV per atom

```
ScPt2Au
1.0
-2.620 -0.779 1.312
1.118 -3.835 -0.045
2.364 0.629 5.093
Pt Sc Au
2 1 1
direct
0.000 0.000 0.999
0.500 0.500 0.258
0.000 0.000 0.487
0.500 0.500 0.756
```